(1)
Entry from the Alexandria database: crystalline Mn2ZnRh at its relaxed geometry (PBE).

abc: 8.516 8.516 8.516
angles: 19.06 19.06 19.06
Element x y z (fractional)
Rh (0.250, 0.250, 0.250)
Mn (0.998, 0.998, 0.998)
Mn (0.502, 0.502, 0.502)
Zn (0.750, 0.750, 0.750)

Properties
DFT total energy = -6.64 eV per atom
Fermi-level density of states = 5.771 states/eV/cell
Energy relative to the elements = 0.106 eV/atom

***

(2)
Entry from the Alexandria database: crystalline Na2In4Ag3 at its relaxed geometry (PBE).

abc: 6.119 8.609 8.826
angles: 90.00 110.28 90.00
Element x y z (fractional)
Ag (0.007, 0.750, 0.514)
Na (0.602, 0.895, 0.204)
In (0.681, 0.509, 0.363)
In (0.819, 0.009, 0.637)
Ag (0.993, 0.250, 0.486)
In (0.818, 0.250, 0.136)
Ag (0.000, 0.000, 0.000)
Na (0.898, 0.395, 0.796)
In (0.181, 0.991, 0.363)
Na (0.102, 0.605, 0.204)
In (0.319, 0.491, 0.637)
Na (0.398, 0.105, 0.796)
In (0.318, 0.250, 0.136)
In (0.182, 0.750, 0.864)
Ag (0.500, 0.500, 0.000)
Ag (0.507, 0.750, 0.514)
Ag (0.493, 0.250, 0.486)
In (0.682, 0.750, 0.864)

Properties
Relative energy among the computed polymorphs = 0.19 eV per formula unit
DFT total energy = -2.54 eV per atom
Fermi-level density of states = 3.869 states/eV/cell
Energy relative to the elements = -0.081 eV/atom